An optimized crystal structure of Ba2ScW. Source: the Alexandria database, functional PBEsol.

abc: 4.474 5.960 9.666
angles: 90.00 90.00 90.00
Space group Imm2 (No. 44)
One atom of each set of equivalent atoms:
Ba (0.000, 0.000, 0.000) (multiplicity 2)
Ba (0.000, 0.500, 0.192) (multiplicity 2)
Sc (0.000, 0.500, 0.797) (multiplicity 2)
W (0.000, 0.000, 0.427) (multiplicity 2)

## Properties
Its crystal system is orthorhombic. The total energy is -41.5 eV per cell. The energy above the most stable polymorph in this dataset comes out at 61 meV/atom.